Entry 1:
Computed, not measured: crystalline InSiW at its relaxed geometry at the PBE-GGA level of DFT.

Summary:
Energy relative to the elements, uncorrected   0.2416 eV per atom
Space-group type   I4mm, No. 107
Density   10.5 g/cm3

a b c (Å): 5.323 5.323 5.323
angles (deg): 143.97 143.95 51.88
Element x y z (fractional)
1 In 0.000 0.000 0.000
2 Si 0.305 0.305 0.000
3 W 0.695 0.695 0.000

Entry 2:
Computed, not measured: crystalline CaNdP2S8 at its relaxed geometry at the PBE-GGA level of DFT.

Summary:
Energy relative to the elements, uncorrected   -0.7212 eV per atom
Space-group type   P-3, No. 147
Density   2.9 g/cm3

a b c (Å): 5.984 5.984 9.338
angles (deg): 90.00 90.00 120.00
Element x y z (fractional)
1 S 0.655 0.998 0.290
2 S 0.345 0.002 0.710
3 S 0.657 0.655 0.710
4 S 0.343 0.345 0.290
5 S 0.333 0.667 0.989
6 S 0.667 0.333 0.011
7 S 0.002 0.657 0.290
8 S 0.998 0.343 0.710
9 Nd 0.000 0.000 0.500
10 P 0.333 0.667 0.771
11 P 0.667 0.333 0.229
12 Ca 0.000 0.000 0.000

Entry 3:
Computed, not measured: crystalline Zr3Pt5 at its relaxed geometry at the PBE-GGA level of DFT.

Summary:
Space-group type   Cmcm, No. 63
Energy of formation   -1025 meV per atom
Density   14.3 g/cm3

a b c (Å): 5.620 5.620 9.499
angles (deg): 90.00 90.00 104.33
Element x y z (fractional)
1 Zr 0.797 0.203 0.000
2 Zr 0.625 0.625 0.750
3 Zr 0.203 0.797 0.000
4 Zr 0.375 0.375 0.250
5 Zr 0.797 0.203 0.500
6 Zr 0.203 0.797 0.500
7 Pt 0.061 0.516 0.750
8 Pt 0.686 0.686 0.046
9 Pt 0.516 0.061 0.750
10 Pt 0.686 0.686 0.454
11 Pt 0.022 0.022 0.750
12 Pt 0.978 0.978 0.250
13 Pt 0.939 0.484 0.250
14 Pt 0.484 0.939 0.250
15 Pt 0.314 0.314 0.546
16 Pt 0.314 0.314 0.954

Number 1: calculated volume 51.9 Å³/cell. Number 2: calculated volume 289.5 Å³/cell. Number 3: calculated volume 290.7 Å³/cell.